VASP calculation (GGA-PBE) on AlZnCu2 after structural relaxation.

a b c (Å): 4.6741 4.6741 4.4334
angles (deg): 76.59 76.59 34.28
Fractional positions:
Zn  0.5047  0.5047  0.4771
Al  0.7439  0.7439  0.7753
Cu  0.9970  0.9970  0.9845
Cu  0.2545  0.2545  0.2631

Output
E: -3.4241 eV/atom
Space-group type: Cm, No. 8
Energy of formation from the pure elements: -0.1218 eV/atom